Computed, not measured: an optimized crystal structure of Li2CoSiO4 at the PBE with a Hubbard U level of DFT.

Output
Total DFT energy (no corrections): -206.18 eV per cell
Energy above the lowest structure with this stoichiometry: 20 meV per atom
Mass density: 3.15 Mg/m³
Total magnetization: 12.00 μB per cell

```
data_Li2CoSiO4
_cell_length_a 5.051
_cell_length_b 6.343
_cell_length_c 10.844
_cell_angle_alpha 89.21
_cell_angle_beta 90.00
_cell_angle_gamma 90.00
_symmetry_space_group_name_H-M 'P 1'
_symmetry_Int_Tables_number 1
loop_
_symmetry_equiv_pos_as_xyz
'x,y,z'
loop_
_atom_site_label
_atom_site_fract_x
_atom_site_fract_y
_atom_site_fract_z
O1 0.202 0.750 0.193
O2 0.798 0.250 0.807
O3 0.799 0.036 0.594
O4 0.201 0.964 0.406
O5 0.299 0.964 0.906
Co1 0.298 0.507 0.094
Li1 0.805 0.768 0.171
Co2 0.798 0.493 0.406
O6 0.638 0.748 0.339
Li2 0.808 0.999 0.414
O7 0.705 0.468 0.092
Li3 0.308 0.001 0.086
O8 0.862 0.748 0.839
O9 0.295 0.532 0.908
Li4 0.192 0.001 0.586
Si1 0.190 0.756 0.838
Co3 0.202 0.507 0.594
Li5 0.305 0.232 0.329
O10 0.298 0.750 0.693
O11 0.702 0.250 0.307
Si2 0.690 0.244 0.662
Co4 0.702 0.493 0.906
O12 0.701 0.036 0.094
Li6 0.692 0.999 0.914
Li7 0.195 0.232 0.829
O13 0.138 0.252 0.161
Si3 0.310 0.756 0.338
O14 0.205 0.532 0.408
Si4 0.810 0.244 0.162
Li8 0.695 0.768 0.671
O15 0.362 0.252 0.661
O16 0.795 0.468 0.592
```